No. 1
A plane-wave DFT calculation with PBE-GGA was carried out for TcHg2Pb after structural relaxation.

Summary:
Calculated density (g/cm³): 12.84
Energy of formation from the pure elements (eV per atom): 0.604

Cell lengths 3.391, 5.307, 10.153 Å; angles 90.00, 90.00, 90.00 degrees
Space group Cmmm (No. 65)
Unique sites:
Tc: 0.000 0.000 0.000 [2 per cell]
Hg: 0.000 0.500 0.220 [4 per cell]
Pb: 0.000 0.000 0.500 [2 per cell]

No. 2
A plane-wave DFT calculation with PBE-GGA was carried out for TcHg2Pb after structural relaxation.

Summary:
Calculated density (g/cm³): 13.46
Energy of formation from the pure elements (eV per atom): 0.643

Cell lengths 3.364, 4.799, 5.399 Å; angles 90.00, 90.00, 90.00 degrees
Space group Pmmm (No. 47)
Unique sites:
Tc: 0.000 0.000 0.000 [1 per cell]
Hg: 0.000 0.500 0.500 [1 per cell]
Hg: 0.500 0.000 0.500 [1 per cell]
Pb: 0.500 0.500 0.000 [1 per cell]

No. 3
A plane-wave DFT calculation with PBE-GGA was carried out for TcHg3Pb after structural relaxation.

Summary:
Calculated density (g/cm³): 10.26
Energy of formation from the pure elements (eV per atom): 0.671
ΔE to the lowest computed polymorph (meV per atom): 0

Cell lengths 5.275, 5.275, 5.275 Å; angles 90.00, 90.00, 90.00 degrees
Space group Pm-3m (No. 221)
Unique sites:
Tc: 0.000 0.000 0.000 [1 per cell]
Hg: 0.000 0.000 0.500 [3 per cell]
Pb: 0.500 0.500 0.500 [1 per cell]

No. 4
A plane-wave DFT calculation with PBE-GGA was carried out for TcHg2Pb after structural relaxation.

Summary:
Calculated density (g/cm³): 12.78
Energy of formation from the pure elements (eV per atom): 0.519

Cell lengths 3.1794, 3.1794, 31.4421 Å; angles 90.00, 90.00, 120.00 degrees
Space group R3m (No. 160, hexagonal axes)
Unique sites:
Tc: 0.0000 0.0000 0.0000 [3 per cell]
Hg: 0.0000 0.0000 0.4947 [3 per cell]
Hg: 0.0000 0.0000 0.7377 [3 per cell]
Pb: 0.0000 0.0000 0.2602 [3 per cell]

No. 5
A plane-wave DFT calculation with PBE-GGA was carried out for TcHg2Pb after structural relaxation.

Summary:
Calculated density (g/cm³): 13.00
Energy of formation from the pure elements (eV per atom): 0.547

Cell lengths 3.1851, 3.1851, 30.8150 Å; angles 90.00, 90.00, 120.00 degrees
Space group R-3m (No. 166, hexagonal axes)
Unique sites:
Tc: 0.0000 0.0000 0.0000 [3 per cell]
Hg: 0.0000 0.0000 0.2613 [6 per cell]
Pb: 0.0000 0.0000 0.5000 [3 per cell]

No. 6
A plane-wave DFT calculation with PBE-GGA was carried out for TcHgPb3 after structural relaxation.

Summary:
Calculated density (g/cm³): 9.97
Energy of formation from the pure elements (eV per atom): 0.294
ΔE to the lowest computed polymorph (meV per atom): 0

Cell lengths 5.352, 5.352, 5.352 Å; angles 90.00, 90.00, 90.00 degrees
Space group Pm-3m (No. 221)
Unique sites:
Tc: 0.000 0.000 0.000 [1 per cell]
Hg: 0.500 0.500 0.500 [1 per cell]
Pb: 0.000 0.000 0.500 [3 per cell]

No. 7
A plane-wave DFT calculation with PBE-GGA was carried out for TcHg2Pb after structural relaxation.

Summary:
Calculated density (g/cm³): 11.88
Energy of formation from the pure elements (eV per atom): 0.452

Cell lengths 2.949, 4.846, 13.819 Å; angles 90.00, 90.00, 90.00 degrees
Space group Imm2 (No. 44)
Unique sites:
Tc: 0.000 0.000 0.000 [2 per cell]
Hg: 0.000 0.000 0.491 [2 per cell]
Hg: 0.000 0.500 0.322 [2 per cell]
Pb: 0.000 0.500 0.679 [2 per cell]

No. 8
A plane-wave DFT calculation with PBE-GGA was carried out for TcHg2Pb after structural relaxation.

Summary:
Calculated density (g/cm³): 13.06
Energy of formation from the pure elements (eV per atom): 0.527

Cell lengths 10.452, 3.402, 5.739 Å; angles 90.00, 118.36, 90.00 degrees
Space group Cm (No. 8)
Unique sites:
Tc: 0.000 0.000 0.000 [2 per cell]
Hg: 0.017 0.500 0.408 [2 per cell]
Hg: 0.294 0.000 0.583 [2 per cell]
Pb: 0.220 0.500 0.014 [2 per cell]

No. 9
A plane-wave DFT calculation with PBE-GGA was carried out for TcHg2Pb after structural relaxation.

Summary:
Calculated density (g/cm³): 13.08
Energy of formation from the pure elements (eV per atom): 0.702

Cell lengths 5.236, 5.236, 3.271 Å; angles 90.00, 90.00, 90.00 degrees
Space group P4/mmm (No. 123)
Unique sites:
Tc: 0.000 0.000 0.000 [1 per cell]
Hg: 0.000 0.500 0.500 [2 per cell]
Pb: 0.500 0.500 0.000 [1 per cell]

No. 10
A plane-wave DFT calculation with PBE-GGA was carried out for TcHg2Pb after structural relaxation.

Summary:
Calculated density (g/cm³): 12.42
Energy of formation from the pure elements (eV per atom): 0.463

Cell lengths 3.058, 4.600, 13.434 Å; angles 90.00, 90.00, 90.00 degrees
Space group Immm (No. 71)
Unique sites:
Tc: 0.000 0.000 0.000 [2 per cell]
Hg: 0.000 0.500 0.313 [4 per cell]
Pb: 0.000 0.000 0.500 [2 per cell]

No. 11
A plane-wave DFT calculation with PBE-GGA was carried out for TcHg2Pb after structural relaxation.

Summary:
Calculated density (g/cm³): 13.70
Energy of formation from the pure elements (eV per atom): 0.550

Cell lengths 3.673, 3.673, 6.346 Å; angles 90.00, 90.00, 90.00 degrees
Space group P4mm (No. 99)
Unique sites:
Tc: 0.000 0.000 0.000 [1 per cell]
Hg: 0.000 0.000 0.483 [1 per cell]
Hg: 0.500 0.500 0.242 [1 per cell]
Pb: 0.500 0.500 0.782 [1 per cell]

No. 12
A plane-wave DFT calculation with PBE-GGA was carried out for TcHg2Pb after structural relaxation.

Summary:
Calculated density (g/cm³): 13.79
Energy of formation from the pure elements (eV per atom): 0.610

Cell lengths 4.272, 4.272, 9.325 Å; angles 90.00, 90.00, 90.00 degrees
Space group I-4m2 (No. 119)
Unique sites:
Tc: 0.000 0.000 0.000 [2 per cell]
Hg: 0.000 0.000 0.500 [2 per cell]
Hg: 0.000 0.500 0.750 [2 per cell]
Pb: 0.000 0.500 0.250 [2 per cell]

No. 13
A plane-wave DFT calculation with PBE-GGA was carried out for TcHg2Pb after structural relaxation.

Summary:
Calculated density (g/cm³): 12.89
Energy of formation from the pure elements (eV per atom): 0.521

Cell lengths 3.137, 3.137, 9.248 Å; angles 90.00, 90.00, 90.00 degrees
Space group P4/mmm (No. 123)
Unique sites:
Tc: 0.000 0.000 0.000 [1 per cell]
Hg: 0.500 0.500 0.205 [2 per cell]
Pb: 0.000 0.000 0.500 [1 per cell]

No. 14
A plane-wave DFT calculation with PBE-GGA was carried out for Tc3HgPb after structural relaxation.

Summary:
Calculated density (g/cm³): 8.64
Energy of formation from the pure elements (eV per atom): 2.204
ΔE to the lowest computed polymorph (meV per atom): 0

Cell lengths 5.128, 5.128, 5.128 Å; angles 90.00, 90.00, 90.00 degrees
Space group Pm-3m (No. 221)
Unique sites:
Tc: 0.000 0.000 0.500 [3 per cell]
Hg: 0.000 0.000 0.000 [1 per cell]
Pb: 0.500 0.500 0.500 [1 per cell]

No. 15
A plane-wave DFT calculation with PBE-GGA was carried out for TcHg2Pb after structural relaxation.

Summary:
Calculated density (g/cm³): 13.87
Energy of formation from the pure elements (eV per atom): 0.599

Cell lengths 4.113, 4.113, 10.001 Å; angles 90.00, 90.00, 90.00 degrees
Space group I4/mmm (No. 139)
Unique sites:
Tc: 0.000 0.000 0.000 [2 per cell]
Hg: 0.000 0.500 0.250 [4 per cell]
Pb: 0.000 0.000 0.500 [2 per cell]

No. 16
A plane-wave DFT calculation with PBE-GGA was carried out for TcHg2Pb after structural relaxation.

Summary:
Calculated density (g/cm³): 13.37
Energy of formation from the pure elements (eV per atom): 0.651

Cell lengths 4.226, 4.226, 4.914 Å; angles 90.00, 90.00, 90.00 degrees
Space group P4/mmm (No. 123)
Unique sites:
Tc: 0.000 0.000 0.000 [1 per cell]
Hg: 0.000 0.500 0.500 [2 per cell]
Pb: 0.500 0.500 0.000 [1 per cell]

No. 17
A plane-wave DFT calculation with PBE-GGA was carried out for TcHg2Pb after structural relaxation.

Summary:
Calculated density (g/cm³): 13.27
Energy of formation from the pure elements (eV per atom): 0.545

Cell lengths 3.548, 4.304, 6.048 Å; angles 90.00, 106.89, 90.00 degrees
Space group Pm (No. 6)
Unique sites:
Tc: 0.000 0.000 0.000 [1 per cell]
Hg: 0.161 0.500 0.320 [1 per cell]
Hg: 0.749 0.000 0.497 [1 per cell]
Pb: 0.433 0.500 0.863 [1 per cell]

No. 18
A plane-wave DFT calculation with PBE-GGA was carried out for TcHg2Pb after structural relaxation.

Summary:
Calculated density (g/cm³): 12.37
Energy of formation from the pure elements (eV per atom): 0.502

Cell lengths 3.133, 3.133, 9.658 Å; angles 90.00, 90.00, 90.00 degrees
Space group P4mm (No. 99)
Unique sites:
Tc: 0.000 0.000 0.000 [1 per cell]
Hg: 0.000 0.000 0.477 [1 per cell]
Hg: 0.500 0.500 0.193 [1 per cell]
Pb: 0.500 0.500 0.786 [1 per cell]

No. 19
A plane-wave DFT calculation with PBE-GGA was carried out for TcHg2Pb after structural relaxation.

Summary:
Calculated density (g/cm³): 13.40
Energy of formation from the pure elements (eV per atom): 0.605

Cell lengths 5.786, 10.766, 3.376 Å; angles 90.00, 123.65, 90.00 degrees
Space group C2/m (No. 12)
Unique sites:
Tc: 0.000 0.000 0.000 [2 per cell]
Hg: 0.250 0.250 0.000 [4 per cell]
Pb: 0.000 0.500 0.000 [2 per cell]

No. 20
A plane-wave DFT calculation with PBE-GGA was carried out for TiTcHg2Pb after structural relaxation.

Summary:
Calculated density (g/cm³): 9.78
Energy of formation from the pure elements (eV per atom): 0.736

Cell lengths 5.399, 5.399, 4.394 Å; angles 90.00, 90.00, 90.00 degrees
Space group P4/mmm (No. 123)
Unique sites:
Ti: 0.000 0.000 0.000 [1 per cell]
Tc: 0.000 0.000 0.500 [1 per cell]
Hg: 0.000 0.500 0.000 [2 per cell]
Pb: 0.500 0.500 0.500 [1 per cell]